# 1
A relaxed structure of Pr7CuCl12, computed with PBE-GGA.

Properties
**M_tot**: 0.00 μB per cell
**Calculated total energy**: -4.821 eV per atom
**Space group**: R-3 (148)

POSCAR file:
```
Pr7CuCl12
1.0
9.529 0.000 -1.961
-4.050 7.503 -3.589
-1.430 0.000 9.140
Pr Cl Cu
7 12 1
Cartesian
8.377 0.677 0.512 Pr
2.353 5.268 3.419 Pr
6.166 1.559 5.860 Pr
-4.327 6.826 3.077 Pr
4.764 0.000 -0.981 Pr
1.697 2.236 0.171 Pr
-2.117 5.944 -2.270 Pr
6.354 2.364 -0.740 Cl
-2.304 5.139 4.329 Cl
4.321 3.610 4.667 Cl
1.501 1.663 6.730 Cl
-3.305 6.518 0.267 Cl
0.293 6.803 1.988 Cl
3.756 0.701 1.601 Cl
3.435 4.595 0.841 Cl
-0.271 3.893 -1.078 Cl
2.549 5.840 -3.141 Cl
7.355 0.985 3.322 Cl
0.615 2.909 2.749 Cl
0.000 0.000 0.000 Cu
```

# 2
A relaxed structure of Pr2CuCl, computed with PBE-GGA.

Properties
**M_tot**: 0.00 μB per cell
**Calculated total energy**: -4.598 eV per atom
**Space group**: R3m (160)

POSCAR file:
```
Pr2CuCl
1.0
-1.395 -2.242 3.114
-1.292 -3.817 -0.651
6.052 -4.587 2.084
Cu Pr Cl
1 2 1
Cartesian
4.244 -8.621 3.723 Cu
4.494 -4.012 1.801 Pr
0.650 -2.591 1.102 Pr
1.712 -5.334 2.279 Cl
```

# 3
A relaxed structure of Pr3CuCl3, computed with PBE-GGA.

Properties
**M_tot**: 0.00 μB per cell
**Calculated total energy**: -4.767 eV per atom
**Space group**: I4_132 (214)

POSCAR file:
```
Pr3CuCl3
1.0
-9.195 4.307 -0.086
1.003 -6.002 -8.129
1.066 -5.535 8.446
Cl Pr Cu
12 12 4
Cartesian
1.270 -6.990 6.375 Cl
-5.360 -5.537 -3.895 Cl
-0.202 -10.401 0.256 Cl
-2.705 -7.869 2.305 Cl
-1.202 -4.620 4.320 Cl
-1.292 -4.752 0.101 Cl
-3.783 -2.278 -2.033 Cl
-1.327 -4.761 -3.970 Cl
-2.767 -7.939 -1.801 Cl
-5.345 -5.424 0.097 Cl
1.257 -7.327 -1.834 Cl
1.226 -7.165 2.271 Cl
-3.356 -4.939 2.274 Pr
-5.787 -2.481 4.191 Pr
-5.937 -2.598 -4.099 Pr
-8.332 -0.061 -2.040 Pr
-8.376 0.113 2.054 Pr
-1.781 -1.805 0.154 Pr
-1.766 -1.693 4.105 Pr
-4.367 0.693 2.022 Pr
-6.931 3.156 -0.014 Pr
-8.383 -0.252 -6.133 Pr
-5.826 -2.461 0.140 Pr
-4.441 0.636 -2.075 Pr
-6.379 0.346 0.014 Cu
-6.395 0.229 -4.129 Cu
-3.814 -2.114 2.148 Cu
0.266 -1.384 2.111 Cu
```

Q: The lowest calculated total energy belongs to which entry?
A: Pr7CuCl12